A relaxed structure of Ac3La4Y. Source: the Alexandria database, functional GGA-PBE.

Cell lengths 6.5916, 6.5916, 10.7920 Å; angles 114.16, 114.16, 48.49 degrees
Last column: nearest neighbours and their distance in Å.
Fractional coordinates of all 8 atoms:
Ac1 0.0000 0.0000 0.0000  8 La 3.81-3.84, 4 Ac 3.87
Ac2 0.4974 0.4974 0.2553  8 La 3.76-3.87, 2 Y 3.77, 2 Ac 3.87
Ac3 0.5026 0.5026 0.7447  8 La 3.76-3.87, 2 Y 3.77, 2 Ac 3.87
La1 0.2486 0.2486 0.3784  5 Ac 3.76-3.83, 4 La 3.76-3.82, 3 Y 3.77-3.82
La2 0.2501 0.2501 0.8708  1 Y 3.77, 7 Ac 3.79-3.87, 4 La 3.82-3.89
La3 0.7499 0.7499 0.1292  1 Y 3.77, 7 Ac 3.79-3.87, 4 La 3.82-3.89
La4 0.7514 0.7514 0.6216  5 Ac 3.76-3.83, 4 La 3.76-3.82, 3 Y 3.77-3.82
Y1 0.0000 0.0000 0.5000  8 La 3.77-3.82, 4 Ac 3.77

Output
electronic total energy = -4.78 eV/atom
total magnetization = 0.00 μB/cell
energy of formation from the pure elements = 0.03 eV/atom

***

A relaxed structure of Ac3La2Y2. Source: the Alexandria database, functional GGA-PBE.

Cell lengths 13.0274, 13.0274, 3.7523 Å; angles 90.00, 90.00, 154.61 degrees
Last column: nearest neighbours and their distance in Å.
Fractional coordinates of all 7 atoms:
Ac1 0.0000 0.0000 0.0000  4 Ac 3.75-3.92, 8 La 3.90
Ac2 0.1542 0.8458 0.0000  3 Ac 3.75-3.92, 6 Y 3.76-3.82, 4 La 3.99
Ac3 0.8458 0.1542 0.0000  3 Ac 3.75-3.92, 6 Y 3.76-3.82, 4 La 3.99
La1 0.4265 0.5735 0.5000  1 Y 3.60, 3 La 3.74-3.75, 8 Ac 3.90-3.99
La2 0.5735 0.4265 0.5000  1 Y 3.60, 3 La 3.74-3.75, 8 Ac 3.90-3.99
Y1 0.2850 0.7150 0.5000  4 Y 3.37-3.75, 1 La 3.60, 4 Ac 3.76
Y2 0.7150 0.2850 0.5000  4 Y 3.37-3.75, 1 La 3.60, 4 Ac 3.76

Output
electronic total energy = -4.97 eV/atom
total magnetization = 0.00 μB/cell
energy of formation from the pure elements = 0.04 eV/atom

***

A relaxed structure of Ac6LaY5. Source: the Alexandria database, functional GGA-PBE.

Cell lengths 10.0674, 10.0674, 10.0674 Å; angles 148.40, 118.65, 70.66 degrees
Last column: nearest neighbours and their distance in Å.
Fractional coordinates of all 12 atoms:
Ac1 0.0808 0.3332 0.7477  7 Y 3.73-3.77, 1 La 3.77, 4 Ac 3.87-3.88
Ac2 0.2452 0.0000 0.2452  6 Y 3.72-3.79, 2 La 3.79, 4 Ac 3.88
Ac3 0.4145 0.6668 0.7477  7 Y 3.73-3.77, 1 La 3.77, 4 Ac 3.87-3.88
Ac4 0.5855 0.3332 0.2523  7 Y 3.73-3.77, 1 La 3.77, 4 Ac 3.87-3.88
Ac5 0.7548 0.0000 0.7548  6 Y 3.72-3.79, 2 La 3.79, 4 Ac 3.88
Ac6 0.9192 0.6668 0.2523  7 Y 3.73-3.77, 1 La 3.77, 4 Ac 3.87-3.88
La1 0.5000 0.5000 0.0000  8 Ac 3.77-3.79, 4 Y 3.87
Y1 0.0000 0.5000 0.5000  8 Ac 3.72-3.74, 4 Y 3.90
Y2 0.1688 0.1688 0.0000  8 Ac 3.74-3.75, 4 Y 3.85-3.90
Y3 0.3333 0.8333 0.5000  8 Ac 3.73-3.79, 2 Y 3.85, 2 La 3.87
Y4 0.6667 0.1667 0.5000  8 Ac 3.73-3.79, 2 Y 3.85, 2 La 3.87
Y5 0.8312 0.8312 0.0000  8 Ac 3.74-3.75, 4 Y 3.85-3.90

Output
electronic total energy = -5.12 eV/atom
total magnetization = 0.00 μB/cell
energy of formation from the pure elements = 0.04 eV/atom

***

A relaxed structure of Ac2La7Y2. Source: the Alexandria database, functional GGA-PBE.

Cell lengths 8.3660, 8.3660, 6.4133 Å; angles 105.77, 105.77, 91.51 degrees
Last column: nearest neighbours and their distance in Å.
Fractional coordinates of all 11 atoms:
Ac1 0.0973 0.0973 0.3120  7 La 3.68-3.97, 2 Ac 3.75-3.90, 2 Y 3.94
Ac2 0.9027 0.9027 0.6880  7 La 3.68-3.97, 2 Ac 3.75-3.90, 2 Y 3.94
La1 0.0762 0.5684 0.3187  5 La 3.36-3.77, 2 Y 3.46-3.55, 1 Ac 3.74
La2 0.2715 0.2715 0.9297  5 La 3.41-3.76, 2 Y 3.58, 2 Ac 3.68-3.75
La3 0.4316 0.9238 0.6813  5 La 3.36-3.77, 2 Y 3.46-3.55, 1 Ac 3.74
La4 0.5000 0.5000 0.5000  6 La 3.53-3.59
La5 0.5684 0.0762 0.3187  5 La 3.36-3.77, 2 Y 3.46-3.55, 1 Ac 3.74
La6 0.7285 0.7285 0.0703  5 La 3.41-3.76, 2 Y 3.58, 2 Ac 3.68-3.75
La7 0.9238 0.4316 0.6813  5 La 3.36-3.77, 2 Y 3.46-3.55, 1 Ac 3.74
Y1 0.2887 0.7113 0.0000  6 La 3.46-3.58
Y2 0.7113 0.2887 0.0000  6 La 3.46-3.58

Output
electronic total energy = -4.95 eV/atom
total magnetization = 0.00 μB/cell
offset from the most stable computed form = 0.000 eV/atom
energy of formation from the pure elements = 0.11 eV/atom